1.
! Sr2LiHoS4 | Alexandria via LeMat-Bulk | PBE-GGA | relaxed; values from VASP
&SYSTEM
  ibrav = 0, nat = 8, ntyp = 4
/
ATOMIC_SPECIES
Sr 87.62 Sr.upf
Li 6.94 Li.upf
Ho 164.93 Ho.upf
S 32.06 S.upf
CELL_PARAMETERS angstrom
7.033 0.000 0.000
0.000 4.100 0.000
-2.265 0.000 6.668
ATOMIC_POSITIONS crystal
Sr 0.000 0.000 0.000
Sr 0.500 0.500 0.000
Li 0.000 0.500 0.500
Ho 0.500 0.000 0.500
S 0.252 0.000 0.729
S 0.261 0.500 0.276
S 0.739 0.500 0.724
S 0.748 0.000 0.271
! **Space group**: P2/m
! **E_form (uncorrected)**: -1940 meV per atom
! **Total moment**: 0.0 μB per formula unit
! **N(E_F)**: 0.0000 states/eV per atom

2.
! Sr4LiHo3S8 | Alexandria via LeMat-Bulk | PBE-GGA | relaxed; values from VASP
&SYSTEM
  ibrav = 0, nat = 16, ntyp = 4
/
ATOMIC_SPECIES
Sr 87.62 Sr.upf
Li 6.94 Li.upf
Ho 164.93 Ho.upf
S 32.06 S.upf
CELL_PARAMETERS angstrom
4.046 2.336 6.701
-4.046 2.336 6.701
0.000 -4.672 6.701
ATOMIC_POSITIONS crystal
Sr 0.000 0.000 0.000
Sr 0.000 0.500 0.500
Sr 0.500 0.000 0.500
Sr 0.500 0.500 0.000
Li 0.500 0.500 0.500
Ho 0.000 0.000 0.500
Ho 0.000 0.500 0.000
Ho 0.500 0.000 0.000
S 0.239 0.743 0.743
S 0.242 0.242 0.242
S 0.257 0.257 0.761
S 0.257 0.761 0.257
S 0.743 0.239 0.743
S 0.743 0.743 0.239
S 0.758 0.758 0.758
S 0.761 0.257 0.257
! **Space group**: R-3m
! **E_form (uncorrected)**: -2001 meV per atom
! **Total moment**: 0.0 μB per formula unit
! **N(E_F)**: 0.2702 states/eV per atom

Number 1: final energy -41.88 eV for the cell shown. Number 2: final energy -87.42 eV for the cell shown.